Compound: Sm2ScIn
Source: the Alexandria database
Functional: PBE-GGA
Structure: optimized geometry

```
Sm2ScIn
1.0
1.7613 1.0169 10.9513
-1.7613 1.0169 10.9513
0.0000 -2.0337 10.9513
Sm Sc In
2 1 1
Direct
0.0000 0.0000 0.0000 Sm
0.1663 0.1663 0.1663 Sm
0.4165 0.4165 0.4165 Sc
0.5832 0.5832 0.5832 In
```

Output
Crystal system: trigonal
Formation energy from the elements: -0.10 eV/atom